(1)
Compound: CuHg3
Source: Alexandria
Functional: PBE
Structure: relaxed

Cell lengths 5.6523, 8.2515, 3.7533 Å; angles 90.00, 90.00, 90.00 degrees
Space group Cmmm (No. 65)
Inequivalent atoms, fractional coordinates:
Cu  0.0000  0.0000  0.0000 (multiplicity 2)
Hg  0.0000  0.5000  0.0000 (multiplicity 2)
Hg  0.2500  0.2500  0.5000 (multiplicity 4)

Distance to the lowest polymorph of the same formula in eV per formula unit: 0.54
Raw total energy in eV per atom: -1.00

(2)
Compound: Cu2Hg
Source: Alexandria
Functional: PBE
Structure: relaxed

Cell lengths 4.0600, 12.3126, 3.6921 Å; angles 90.00, 90.00, 90.00 degrees
Space group Cmmm (No. 65)
Inequivalent atoms, fractional coordinates:
Cu  0.0000  0.0000  0.0000 (multiplicity 2)
Cu  0.0000  0.1436  0.5000 (multiplicity 4)
Cu  0.0000  0.5000  0.5000 (multiplicity 2)
Hg  0.0000  0.3378  0.0000 (multiplicity 4)

Raw total energy in eV per atom: -2.67

(3)
Compound: Cu2Hg
Source: Alexandria
Functional: PBE
Structure: relaxed

Cell lengths 7.4260, 13.7600, 2.8174 Å; angles 90.00, 97.53, 90.00 degrees
Space group C2/m (No. 12)
Inequivalent atoms, fractional coordinates:
Cu  0.1471  0.0000  0.3193 (multiplicity 4)
Cu  0.1675  0.3342  0.3417 (multiplicity 8)
Hg  0.0000  0.1707  0.0000 (multiplicity 4)
Hg  0.0000  0.5000  0.5000 (multiplicity 2)

Raw total energy in eV per atom: -2.58

(4)
Compound: CuHg
Source: Alexandria
Functional: PBE
Structure: relaxed

Cell lengths 3.0822, 3.0822, 4.2920 Å; angles 90.00, 90.00, 120.00 degrees
Space group P-6m2 (No. 187)
Inequivalent atoms, fractional coordinates:
Cu  0.0000  0.0000  0.0000 (multiplicity 1)
Hg  0.3333  0.6667  0.5000 (multiplicity 1)

Raw total energy in eV per atom: -1.94

(5)
Compound: CuHg
Source: Alexandria
Functional: PBE
Structure: relaxed

Cell lengths 9.1222, 5.2325, 5.2863 Å; angles 90.00, 123.34, 90.00 degrees
Space group C2 (No. 5)
Inequivalent atoms, fractional coordinates:
Cu  0.0000  0.0000  0.0000 (multiplicity 2)
Cu  0.2366  0.7371  0.9609 (multiplicity 4)
Hg  0.0000  0.0460  0.5000 (multiplicity 2)
Hg  0.1205  0.5270  0.3469 (multiplicity 4)

Raw total energy in eV per atom: -2.01

(6)
Compound: CuHg2
Source: Alexandria
Functional: PBE
Structure: relaxed

Cell lengths 5.9586, 5.9586, 9.6364 Å; angles 90.00, 90.00, 120.00 degrees
Space group P6_3/mmc (No. 194)
Inequivalent atoms, fractional coordinates:
Cu  0.3333  0.6667  0.0264 (multiplicity 4)
Hg  0.0000  0.0000  0.0000 (multiplicity 2)
Hg  0.1692  0.3384  0.2500 (multiplicity 6)

Raw total energy in eV per atom: -1.05

(7)
Compound: Cu2Hg
Source: Alexandria
Functional: PBE
Structure: relaxed

Cell lengths 3.4767, 3.4767, 4.3161 Å; angles 90.00, 90.00, 90.00 degrees
Space group P4/mmm (No. 123)
Inequivalent atoms, fractional coordinates:
Cu  0.0000  0.5000  0.0000 (multiplicity 2)
Hg  0.0000  0.0000  0.5000 (multiplicity 1)

Raw total energy in eV per atom: -2.58

(8)
Compound: Cu2Hg
Source: Alexandria
Functional: PBE
Structure: relaxed

Cell lengths 6.0754, 6.0754, 6.0754 Å; angles 90.00, 90.00, 90.00 degrees
Space group Fm-3m (No. 225)
Inequivalent atoms, fractional coordinates:
Cu  0.2500  0.2500  0.2500 (multiplicity 8)
Hg  0.0000  0.0000  0.0000 (multiplicity 4)

Raw total energy in eV per atom: -2.40

(9)
Compound: Cu2Hg
Source: Alexandria
Functional: PBE
Structure: relaxed

Cell lengths 4.8251, 4.8251, 8.6745 Å; angles 90.00, 90.00, 90.00 degrees
Space group I4/mcm (No. 140)
Inequivalent atoms, fractional coordinates:
Cu  0.1852  0.3148  0.0000 (multiplicity 8)
Hg  0.0000  0.0000  0.2500 (multiplicity 4)

Raw total energy in eV per atom: -2.64

(10)
Compound: CuHg2
Source: Alexandria
Functional: PBE
Structure: relaxed

Cell lengths 4.8559, 4.8559, 2.9862 Å; angles 90.00, 90.00, 120.00 degrees
Space group P6/mmm (No. 191)
Inequivalent atoms, fractional coordinates:
Cu  0.0000  0.0000  0.0000 (multiplicity 1)
Hg  0.3333  0.6667  0.5000 (multiplicity 2)

Raw total energy in eV per atom: -1.21

(11)
Compound: Cu2Hg
Source: Alexandria
Functional: PBE
Structure: relaxed

Cell lengths 9.0805, 4.6253, 4.3872 Å; angles 90.00, 90.00, 90.00 degrees
Space group Cmcm (No. 63)
Inequivalent atoms, fractional coordinates:
Cu  0.1910  0.1764  0.2500 (multiplicity 8)
Hg  0.0000  0.2805  0.7500 (multiplicity 4)

Raw total energy in eV per atom: -2.69

(12)
Compound: Cu3Hg
Source: Alexandria
Functional: PBE
Structure: relaxed

Cell lengths 4.4193, 5.5109, 4.7027 Å; angles 90.00, 90.00, 90.00 degrees
Space group Pmmn (No. 59, origin choice 2)
Inequivalent atoms, fractional coordinates:
Cu  0.2500  0.9995  0.1601 (multiplicity 4)
Cu  0.2500  0.2500  0.7012 (multiplicity 2)
Hg  0.2500  0.7500  0.6580 (multiplicity 2)

Raw total energy in eV per atom: -3.03

(13)
Compound: CuHg3
Source: Alexandria
Functional: PBE
Structure: relaxed

Cell lengths 5.2854, 3.0778, 6.5692 Å; angles 90.00, 111.22, 90.00 degrees
Space group P2/m (No. 10)
Inequivalent atoms, fractional coordinates:
Cu  0.0000  0.0000  0.0000 (multiplicity 1)
Hg  0.1916  0.5000  0.3687 (multiplicity 2)
Hg  0.5000  0.0000  0.0000 (multiplicity 1)

Distance to the lowest polymorph of the same formula in eV per formula unit: 0.20
Raw total energy in eV per atom: -1.08

(14)
Compound: Cu2Hg
Source: Alexandria
Functional: PBE
Structure: relaxed

Cell lengths 6.8552, 6.8552, 2.7576 Å; angles 90.00, 90.00, 90.00 degrees
Space group P4_2/mnm (No. 136)
Inequivalent atoms, fractional coordinates:
Cu  0.2342  0.2342  0.0000 (multiplicity 4)
Hg  0.0000  0.0000  0.5000 (multiplicity 2)

Raw total energy in eV per atom: -2.16

(15)
Compound: CuHg
Source: Alexandria
Functional: PBE
Structure: relaxed

Cell lengths 5.8262, 7.7659, 13.7082 Å; angles 90.00, 90.00, 90.00 degrees
Space group Fddd (No. 70, origin choice 2)
Inequivalent atoms, fractional coordinates:
Cu  0.1250  0.1250  0.0355 (multiplicity 16)
Hg  0.1250  0.3068  0.6250 (multiplicity 16)

Raw total energy in eV per atom: -1.94

(16)
Compound: Cu3Hg5
Source: Alexandria
Functional: PBE
Structure: relaxed

Cell lengths 7.8274, 7.8274, 5.8404 Å; angles 90.00, 90.00, 120.00 degrees
Space group P6_3/mcm (No. 193)
Inequivalent atoms, fractional coordinates:
Cu  0.0000  0.4032  0.2500 (multiplicity 6)
Hg  0.0000  0.2321  0.7500 (multiplicity 6)
Hg  0.3333  0.6667  0.0000 (multiplicity 4)

Distance to the lowest polymorph of the same formula in eV per formula unit: 0.03
Raw total energy in eV per atom: -1.51

(17)
Compound: Cu3Hg
Source: Alexandria
Functional: PBE
Structure: relaxed

Cell lengths 4.9023, 4.9023, 4.9023 Å; angles 90.00, 90.00, 90.00 degrees
Space group Pm-3n (No. 223)
Inequivalent atoms, fractional coordinates:
Cu  0.0000  0.2500  0.5000 (multiplicity 6)
Hg  0.0000  0.0000  0.0000 (multiplicity 2)

Raw total energy in eV per atom: -2.93

(18)
Compound: Cu2Hg
Source: Alexandria
Functional: PBE
Structure: relaxed

Cell lengths 2.9586, 2.9586, 18.9551 Å; angles 90.00, 90.00, 120.00 degrees
Space group R-3m (No. 166, hexagonal axes)
Inequivalent atoms, fractional coordinates:
Cu  0.0000  0.0000  0.2152 (multiplicity 6)
Hg  0.0000  0.0000  0.0000 (multiplicity 3)

Raw total energy in eV per atom: -2.57

(19)
Compound: Cu2Hg
Source: Alexandria
Functional: PBE
Structure: relaxed

Cell lengths 2.9535, 3.4054, 9.0812 Å; angles 90.00, 90.00, 90.00 degrees
Space group Immm (No. 71)
Inequivalent atoms, fractional coordinates:
Cu  0.0000  0.0000  0.1854 (multiplicity 4)
Hg  0.0000  0.0000  0.5000 (multiplicity 2)

Raw total energy in eV per atom: -2.68

(20)
Compound: CuHg
Source: Alexandria
Functional: PBE
Structure: relaxed

Cell lengths 2.9748, 2.9748, 8.0107 Å; angles 90.00, 90.00, 90.00 degrees
Space group P4/nmm (No. 129, origin choice 2)
Inequivalent atoms, fractional coordinates:
Cu  0.2500  0.2500  0.0882 (multiplicity 2)
Hg  0.2500  0.2500  0.6685 (multiplicity 2)

Raw total energy in eV per atom: -2.02